DFT (PBE) results for a geometry-optimized KAc2SO8 structure.

Values from the calculation:
Raw formation energy (kJ per mole of atoms): -166.72
Size of the total moment (μB per formula unit): 3.0
Calculated total energy (eV per cell): -73.84
Volume (Å³/cell): 188

Geometry as POSCAR:
```
KAc2SO8
1.0
5.2820 0.0000 0.0000
-2.6410 4.5743 0.0000
0.0000 0.0000 7.7633
K Ac S O
1 2 1 8
Cartesian
0.0000 0.0000 0.0000
0.0000 3.0496 2.5691
2.6410 1.5248 5.1942
0.0000 0.0000 3.8817
0.0000 1.3683 4.8448
-1.4560 3.8902 4.8448
1.1850 0.6841 2.9185
0.0000 3.0496 0.1095
2.6410 1.5248 7.6538
1.4560 3.8902 4.8448
4.0970 0.6841 2.9185
2.6410 3.2061 2.9185
```